1.
# LiAsPt2

LiAsPt2 after structural relaxation (GGA-PBEsol, Alexandria via LeMat-Bulk).

```
LiAsPt2
1.0
3.9125 0.0000 0.0000
0.0000 3.9125 0.0000
-1.9563 -1.9563 3.7152
As Pt Li
1 2 1
direct
0.0000 0.0000 0.0000
0.7500 0.2500 0.5000
0.2500 0.7500 0.5000
0.5000 0.5000 0.0000
```

**DOS(E_F)**: 1.44 states/eV/cell
**Symmetry**: No. 139
**Formation enthalpy at 0 K**: -0.438 eV/atom



2.
# ZnCd2Rh

ZnCd2Rh after structural relaxation (GGA-PBEsol, Alexandria via LeMat-Bulk).

```
ZnCd2Rh
1.0
-1.3110 1.6846 3.4095
-3.7261 -0.0311 -1.4174
-0.5723 -3.6524 1.5846
Zn Rh Cd
1 1 2
direct
0.0000 0.5000 0.5000
0.5000 0.5000 0.0000
0.0000 0.0000 0.0000
0.5000 0.0000 0.5000
```

**DOS(E_F)**: 2.29 states/eV/cell
**Symmetry**: No. 123
**Formation enthalpy at 0 K**: -0.118 eV/atom



3.
# BPtOF2

BPtOF2 after structural relaxation (GGA-PBEsol, Alexandria via LeMat-Bulk).

```
BPtOF2
1.0
3.7728 0.0000 0.0000
0.0000 4.2711 0.0000
0.0000 0.0000 4.2711
F O B Pt
2 1 1 1
direct
0.0000 0.5000 0.0000
0.0000 0.0000 0.5000
0.5000 0.0000 0.0000
0.5000 0.5000 0.5000
0.0000 0.0000 0.0000
```

**DOS(E_F)**: 2.86 states/eV/cell
**Symmetry**: No. 123
**Formation energy without anion corrections**: 0.34 eV per atom



4.
# Te2Au

Te2Au after structural relaxation (GGA-PBEsol, Alexandria via LeMat-Bulk).

```
Te2Au
1.0
-2.5284 -2.3518 1.3826
2.6188 -1.2673 2.6332
-1.8819 6.7530 8.0455
Au Te
2 4
direct
0.7500 0.8851 0.2297
0.2500 0.1149 0.7703
0.7500 0.2934 0.4133
0.2500 0.4409 0.1183
0.7500 0.5591 0.8817
0.2500 0.7066 0.5867
```

**DOS(E_F)**: 3.34 states/eV/cell
**Symmetry**: No. 63
**Formation energy without anion corrections**: 0.13 eV per atom



5.
# Tb3Ga8Rh3

Tb3Ga8Rh3 after structural relaxation (GGA-PBEsol, Alexandria via LeMat-Bulk).

```
Tb3Ga8Rh3
1.0
-1.9691 1.3425 -3.3884
4.7585 -2.0999 -6.1297
-3.2655 -6.5900 -3.2456
Rh Ga Tb
3 8 3
direct
0.5000 0.0000 0.0000
0.0000 0.7811 0.2189
0.0000 0.2189 0.7811
0.3768 0.9057 0.3406
0.1693 0.2002 0.4612
0.3768 0.3406 0.9057
0.6232 0.6594 0.0943
0.8307 0.5389 0.7998
0.8307 0.7998 0.5389
0.1693 0.4612 0.2002
0.6232 0.0943 0.6594
0.1723 0.8277 0.8277
0.8277 0.1723 0.1723
0.5000 0.5000 0.5000
```

**DOS(E_F)**: 7.59 states/eV/cell
**Symmetry**: No. 71
**Formation enthalpy at 0 K**: -0.755 eV/atom



6.
# AsSe2BrCl

AsSe2BrCl after structural relaxation (GGA-PBEsol, Alexandria via LeMat-Bulk).

```
AsSe2BrCl
1.0
5.0397 0.0000 0.0000
0.0000 4.8883 0.0000
0.0000 0.0000 4.8883
Se Cl As Br
2 1 1 1
direct
0.0000 0.0000 0.5000
0.0000 0.5000 0.0000
0.0000 0.0000 0.0000
0.5000 0.5000 0.5000
0.5000 0.0000 0.0000
```

**DOS(E_F)**: 3.55 states/eV/cell
**Symmetry**: No. 123
**Formation energy without anion corrections**: 0.94 eV per atom



7.
# MgHgRh3

MgHgRh3 after structural relaxation (GGA-PBEsol, Alexandria via LeMat-Bulk).

```
MgHgRh3
1.0
4.4546 0.0000 0.0000
0.0000 4.4546 0.0000
0.0000 0.0000 4.4546
Rh Hg Mg
3 1 1
direct
0.0000 0.0000 0.5000
0.0000 0.5000 0.0000
0.5000 0.0000 0.0000
0.5000 0.5000 0.5000
0.0000 0.0000 0.0000
```

**DOS(E_F)**: 6.61 states/eV/cell
**Symmetry**: No. 221
**Formation enthalpy at 0 K**: 1.124 eV/atom



8.
# YMn2Ge2

YMn2Ge2 after structural relaxation (GGA-PBEsol, Alexandria via LeMat-Bulk).

```
YMn2Ge2
1.0
3.8799 0.0000 0.0000
0.0000 3.8799 0.0000
-1.9400 -1.9400 5.3252
Mn Ge Y
2 2 1
direct
0.7500 0.2500 0.5000
0.2500 0.7500 0.5000
0.6196 0.6196 0.2391
0.3804 0.3804 0.7609
0.0000 0.0000 0.0000
```

**DOS(E_F)**: 3.05 states/eV/cell
**Symmetry**: No. 139
**Formation enthalpy at 0 K**: -0.494 eV/atom